No. 1
A plane-wave DFT calculation with PBE was carried out for MnMoRu2 after structural relaxation.

Results
As for the formation energy: 0.100 eV per atom. Its energy relative to the lowest polymorph listed for this composition is 0.0690 eV per atom. Its total moment is 0.00 μB/cell. The total energy comes out at -38.2 eV for the cell shown.

```
MnMoRu2
1.0
1.353 0.781 8.660
-1.353 0.781 8.660
0.000 -1.563 8.660
Mn Mo Ru
1 1 2
Direct
0.000 0.000 0.000
0.166 0.166 0.166
0.589 0.589 0.589
0.743 0.743 0.743
```

No. 2
A plane-wave DFT calculation with PBE was carried out for MnMoRu2 after structural relaxation.

Results
As for the formation energy: 0.099 eV per atom. Its energy relative to the lowest polymorph listed for this composition is 0.0677 eV per atom. Its total moment is 2.22 μB/cell. The total energy comes out at -38.2 eV for the cell shown.

```
MnMoRu2
1.0
2.763 -3.655 0.000
2.763 3.655 0.000
0.000 0.000 2.810
Mn Mo Ru
1 1 2
Direct
0.000 0.000 0.000
0.500 0.500 0.000
0.000 0.500 0.500
0.500 0.000 0.500
```

No. 3
A plane-wave DFT calculation with PBE was carried out for MnMoRu2 after structural relaxation.

Results
As for the formation energy: 0.057 eV per atom. Its energy relative to the lowest polymorph listed for this composition is 0.0259 eV per atom. Its total moment is 4.61 μB/cell. The total energy comes out at -38.3 eV for the cell shown.

```
MnMoRu2
1.0
0.000 3.071 3.071
3.071 0.000 3.071
3.071 3.071 0.000
Mn Mo Ru
1 1 2
Direct
0.000 0.000 0.000
0.500 0.500 0.500
0.250 0.250 0.250
0.750 0.750 0.750
```